CsRbBi | PBE | relaxed

abc: 10.9410 6.3206 8.7058
angles: 90.00 90.02 90.00
Space group C2/m (No. 12)
Unique sites:
Cs: 0.1668 0.0000 0.3967 (multiplicity 4)
Rb: 0.1665 0.0000 0.9409 (multiplicity 4)
Bi: 0.0000 0.5000 0.1854 (multiplicity 4)

energy of formation from the pure elements	-0.3043	eV per atom
magnetic moment	0.000	μB/atom